1.
This record from Alexandria describes crystalline PmSmMnAl at its relaxed geometry. The functional is PBE.

a b c (Å): 7.3565 7.3565 7.3565
angles (deg): 90.00 90.00 90.00
Closest atoms and distances in Å follow each position.
Space group F-43m (No. 216)
Symmetry-distinct sites (fractional):
Pm (0.0000, 0.0000, 0.0000) x4  4 Mn 3.19, 4 Al 3.19
Sm (0.0000, 0.0000, 0.5000) x4  4 Mn 3.19, 4 Al 3.19
Mn (0.2500, 0.2500, 0.7500) x4  4 Pm 3.19, 4 Sm 3.19
Al (0.2500, 0.2500, 0.2500) x4  4 Pm 3.19, 4 Sm 3.19

Computed properties:
Crystal system: cubic
Energy of formation: -0.0197 eV per atom


2.
This record from Alexandria describes crystalline TbPmMnAl at its relaxed geometry. The functional is PBE.

a b c (Å): 7.2914 7.2914 7.2914
angles (deg): 90.00 90.00 90.00
Closest atoms and distances in Å follow each position.
Space group F-43m (No. 216)
Symmetry-distinct sites (fractional):
Tb (0.0000, 0.0000, 0.0000) x4  4 Mn 3.16, 4 Al 3.16
Pm (0.0000, 0.0000, 0.5000) x4  4 Mn 3.16, 4 Al 3.16
Mn (0.2500, 0.2500, 0.7500) x4  4 Tb 3.16, 4 Pm 3.16
Al (0.2500, 0.2500, 0.2500) x4  4 Tb 3.16, 4 Pm 3.16

Computed properties:
Crystal system: cubic
Energy of formation: -0.0402 eV per atom


3.
This record from Alexandria describes crystalline PmTmMnAl at its relaxed geometry. The functional is PBE.

a b c (Å): 7.2225 7.2225 7.2225
angles (deg): 90.00 90.00 90.00
Closest atoms and distances in Å follow each position.
Space group F-43m (No. 216)
Symmetry-distinct sites (fractional):
Pm (0.0000, 0.0000, 0.0000) x4  4 Mn 3.13, 4 Al 3.13
Tm (0.0000, 0.0000, 0.5000) x4  4 Mn 3.13, 4 Al 3.13
Mn (0.2500, 0.2500, 0.2500) x4  4 Pm 3.13, 4 Tm 3.13
Al (0.2500, 0.2500, 0.7500) x4  4 Pm 3.13, 4 Tm 3.13

Computed properties:
Crystal system: cubic
Energy of formation: -0.0533 eV per atom


4.
This record from Alexandria describes crystalline PmYMnAl at its relaxed geometry. The functional is PBE.

a b c (Å): 7.2906 7.2906 7.2906
angles (deg): 90.00 90.00 90.00
Closest atoms and distances in Å follow each position.
Space group F-43m (No. 216)
Symmetry-distinct sites (fractional):
Pm (0.0000, 0.0000, 0.0000) x4  4 Mn 3.16, 4 Al 3.16
Y (0.0000, 0.0000, 0.5000) x4  4 Mn 3.16, 4 Al 3.16
Mn (0.2500, 0.2500, 0.2500) x4  4 Pm 3.16, 4 Y 3.16
Al (0.2500, 0.2500, 0.7500) x4  4 Pm 3.16, 4 Y 3.16

Computed properties:
Crystal system: cubic
Energy of formation: -0.0534 eV per atom